VASP calculation (GGA-PBE) on a geometry-optimized Sc8PS6 structure.

a = 3.696 Å, b = 9.418 Å, c = 9.418 Å
α = 120.00°, β = 90.00°, γ = 90.00°
Sites, in units of the cell vectors:
S 0.243 0.529 0.661
S 0.757 0.661 0.132
S 0.757 0.868 0.529
S 0.757 0.471 0.339
S 0.243 0.132 0.471
S 0.243 0.339 0.868
Sc 0.738 0.721 0.695
Sc 0.262 0.026 0.721
Sc 0.262 0.279 0.305
Sc 0.257 0.667 0.333
Sc 0.743 0.333 0.667
Sc 0.738 0.974 0.279
Sc 0.262 0.695 0.974
Sc 0.738 0.305 0.026
P 0.500 0.000 0.000

Computed properties:
Size of the total moment = 0.000 μB/cell
Uncorrected formation energy = -1.424 eV/atom
ρ = 3.41 g/cm³
DOS(E_F) = 7.63 states/eV per cell
Electronic total energy = -6.812 eV per atom